[1]
Computed, not measured: a relaxed CePr2Dy2Ho2 crystal at the PBE level of DFT.

Geometry as POSCAR:
```
CePr2Dy2Ho2
1.0
3.5121 0.0000 0.0000
-1.7560 5.6628 1.5765
0.0000 0.8103 11.8180
Ho Dy Pr Ce
2 2 2 1
direct
0.4507 0.9014 0.7650
0.5493 0.0986 0.2350
0.2272 0.4544 0.6335
0.7728 0.5456 0.3665
0.6691 0.3381 0.9183
0.3309 0.6619 0.0817
0.0000 0.0000 0.5000
```

Values from the calculation:
Crystal system ... monoclinic
Total energy ... -33.09 eV/cell
Total magnetization ... 1.03 μB per formula unit

[2]
Computed, not measured: a relaxed Ce2Pr3Dy6Ho crystal at the PBE level of DFT.

Geometry as POSCAR:
```
Ce2Pr3Dy6Ho
1.0
6.2069 -0.0006 0.0056
-3.1025 5.3759 0.0056
-1.0441 -1.8078 11.6174
Dy Ho Pr Ce
6 1 3 2
direct
0.0816 0.4171 0.2446
0.9184 0.5829 0.7554
0.2539 0.2539 0.7553
0.7461 0.7461 0.2447
0.4171 0.0816 0.2446
0.5829 0.9184 0.7554
0.0000 0.0000 0.0000
0.5000 0.5000 0.5000
0.8340 0.1660 0.5000
0.1660 0.8340 0.5000
0.3336 0.6664 0.0000
0.6664 0.3336 0.0000
```

Values from the calculation:
Crystal system ... monoclinic
Total energy ... -57.85 eV/cell
Total magnetization ... 1.96 μB per formula unit